1.
! Dy6Bi2Te3As, optimized geometry, DFT PBE-GGA; values from VASP
! - N(E_F): 0.42 states/eV per atom
! - Total energy: -5.34 eV per atom
! - Size of the total moment: 0.00 μB/f.u.
&SYSTEM
  ibrav = 0, nat = 12, ntyp = 4
/
ATOMIC_SPECIES
Te 127.60 Te.upf
Bi 208.98 Bi.upf
Dy 162.50 Dy.upf
As 74.92 As.upf
CELL_PARAMETERS angstrom
-0.001 -1.944 -3.877
8.732 0.561 -0.284
-1.501 -7.461 6.167
ATOMIC_POSITIONS crystal
Te 0.500 0.500 0.000
Bi 0.833 0.666 0.665
Dy 0.664 0.582 0.328
Dy 0.336 0.418 0.672
Dy 0.999 0.221 0.998
Dy 0.652 0.076 0.304
Te 0.171 0.837 0.341
Dy 0.001 0.779 0.002
Dy 0.348 0.924 0.696
As 0.500 0.000 0.000
Te 0.829 0.163 0.659
Bi 0.167 0.334 0.335


2.
! HgMoRh2, optimized geometry, DFT PBE-GGA; values from VASP
! - DFT formation energy: 0.47 eV per atom
! - N(E_F): 0.26 states/eV per atom
! - Size of the total moment: 0.00 μB/f.u.
&SYSTEM
  ibrav = 0, nat = 8, ntyp = 3
/
ATOMIC_SPECIES
Hg 200.59 Hg.upf
Rh 102.91 Rh.upf
Mo 95.94 Mo.upf
CELL_PARAMETERS angstrom
7.177 0.000 0.000
0.000 7.177 0.000
3.589 3.589 2.823
ATOMIC_POSITIONS crystal
Hg 0.750 0.250 0.500
Rh 0.375 0.420 0.750
Rh 0.580 0.125 0.250
Rh 0.875 0.830 0.750
Mo 0.250 0.750 0.500
Rh 0.170 0.625 0.250
Mo 0.500 0.500 0.000
Hg 0.000 0.000 0.000


3.
! Na4Ac3AgO8, optimized geometry, DFT PBE-GGA; values from VASP
! - Total energy: -5.78 eV per atom
! - Size of the total moment: 0.00 μB/f.u.
&SYSTEM
  ibrav = 0, nat = 16, ntyp = 4
/
ATOMIC_SPECIES
O 16.00 O.upf
Na 22.99 Na.upf
Ac 227.00 Ac.upf
Ag 107.87 Ag.upf
CELL_PARAMETERS angstrom
7.108 0.000 0.000
0.000 6.857 -0.149
-3.554 -3.515 5.785
ATOMIC_POSITIONS crystal
O 0.766 0.686 0.950
Na 0.000 0.000 0.000
O 0.719 0.719 0.439
O 0.184 0.686 0.950
O 0.281 0.281 0.561
O 0.816 0.314 0.050
O 0.700 0.214 0.399
Ac 0.000 0.500 0.500
Na 0.500 0.000 0.000
Ac 0.500 0.500 0.500
Na 0.000 0.000 0.500
Ag 0.000 0.500 0.000
Na 0.500 0.000 0.500
Ac 0.500 0.500 0.000
O 0.300 0.786 0.601
O 0.234 0.314 0.050


4.
! KAl2SiTe, optimized geometry, DFT PBE-GGA; values from VASP
! - N(E_F): 0.77 states/eV per atom
! - Total energy: -2.53 eV per atom
! - Size of the total moment: 1.27 μB/f.u.
&SYSTEM
  ibrav = 0, nat = 5, ntyp = 4
/
ATOMIC_SPECIES
K 39.10 K.upf
Te 127.60 Te.upf
Al 26.98 Al.upf
Si 28.09 Si.upf
CELL_PARAMETERS angstrom
5.524 0.000 0.000
0.000 6.215 0.000
0.000 0.000 5.524
ATOMIC_POSITIONS crystal
K 0.000 0.500 0.000
Te 0.000 0.000 0.000
Al 0.500 0.000 0.000
Al 0.000 0.000 0.500
Si 0.500 0.500 0.500


5.
! TlGa2Mo, optimized geometry, DFT PBE-GGA; values from VASP
! - DFT formation energy: 0.57 eV per atom
! - N(E_F): 0.77 states/eV per atom
! - Size of the total moment: 0.00 μB/f.u.
&SYSTEM
  ibrav = 0, nat = 8, ntyp = 3
/
ATOMIC_SPECIES
Tl 204.38 Tl.upf
Ga 69.72 Ga.upf
Mo 95.94 Mo.upf
CELL_PARAMETERS angstrom
-4.338 -5.817 2.863
3.054 1.205 7.077
-2.717 -0.472 5.553
ATOMIC_POSITIONS crystal
Tl 0.000 0.000 0.000
Ga 0.375 0.432 0.750
Tl 0.750 0.250 0.500
Ga 0.875 0.818 0.750
Ga 0.568 0.125 0.250
Mo 0.500 0.500 0.000
Mo 0.250 0.750 0.500
Ga 0.182 0.625 0.250


6.
! TiAgP2O, optimized geometry, DFT PBE-GGA; values from VASP
! - N(E_F): 0.51 states/eV per atom
! - Total energy: -4.64 eV per atom
! - Size of the total moment: 0.01 μB/f.u.
&SYSTEM
  ibrav = 0, nat = 5, ntyp = 4
/
ATOMIC_SPECIES
P 30.97 P.upf
Ti 47.87 Ti.upf
Ag 107.87 Ag.upf
O 16.00 O.upf
CELL_PARAMETERS angstrom
4.739 0.000 0.000
0.000 4.739 0.000
0.000 0.000 3.938
ATOMIC_POSITIONS crystal
P 0.500 0.000 0.000
Ti 0.500 0.500 0.500
P 0.000 0.500 0.000
Ag 0.000 0.000 0.000
O 0.000 0.000 0.500


7.
! CoIr3, optimized geometry, DFT PBE-GGA; values from VASP
! - DFT formation energy: 0.03 eV per atom
! - N(E_F): 0.89 states/eV per atom
! - Size of the total moment: 2.10 μB/f.u.
&SYSTEM
  ibrav = 0, nat = 4, ntyp = 2
/
ATOMIC_SPECIES
Ir 192.22 Ir.upf
Co 58.93 Co.upf
CELL_PARAMETERS angstrom
2.715 0.000 0.000
-1.358 2.352 0.000
0.000 0.000 8.663
ATOMIC_POSITIONS crystal
Ir 0.333 0.667 0.762
Ir 0.333 0.667 0.238
Co 0.000 0.000 0.000
Ir 0.000 0.000 0.500


8.
! HfAlIrW2, optimized geometry, DFT PBE-GGA; values from VASP
! - DFT formation energy: 1.25 eV per atom
! - N(E_F): 0.76 states/eV per atom
! - Size of the total moment: 0.00 μB/f.u.
&SYSTEM
  ibrav = 0, nat = 5, ntyp = 4
/
ATOMIC_SPECIES
W 183.84 W.upf
Al 26.98 Al.upf
Hf 178.49 Hf.upf
Ir 192.22 Ir.upf
CELL_PARAMETERS angstrom
-0.225 3.067 -3.657
-4.285 1.713 1.700
2.335 3.264 2.594
ATOMIC_POSITIONS crystal
W 0.000 0.000 0.500
Al 0.500 0.500 0.500
Hf 0.000 0.500 0.000
W 0.500 0.000 0.000
Ir 0.000 0.000 0.000


9.
! GaFeHRu2, optimized geometry, DFT PBE-GGA; values from VASP
! - N(E_F): 1.01 states/eV per atom
! - Total energy: -6.69 eV per atom
! - Size of the total moment: 3.29 μB/f.u.
&SYSTEM
  ibrav = 0, nat = 5, ntyp = 4
/
ATOMIC_SPECIES
Ru 101.07 Ru.upf
Fe 55.84 Fe.upf
Ga 69.72 Ga.upf
H 1.01 H.upf
CELL_PARAMETERS angstrom
-1.444 1.238 -3.533
0.109 -3.771 -1.366
-3.279 -0.515 1.160
ATOMIC_POSITIONS crystal
Ru 0.000 0.500 0.000
Fe 0.000 0.000 0.500
Ru 0.500 0.000 0.000
Ga 0.500 0.500 0.500
H 0.000 0.000 0.000


10.
! Nb2SnTeIr, optimized geometry, DFT PBE-GGA; values from VASP
! - N(E_F): 1.22 states/eV per atom
! - Total energy: -6.06 eV per atom
! - Size of the total moment: 0.00 μB/f.u.
&SYSTEM
  ibrav = 0, nat = 5, ntyp = 4
/
ATOMIC_SPECIES
Ir 192.22 Ir.upf
Sn 118.71 Sn.upf
Te 127.60 Te.upf
Nb 92.91 Nb.upf
CELL_PARAMETERS angstrom
-3.999 3.046 -0.649
-2.918 -3.824 0.029
-0.497 0.417 5.027
ATOMIC_POSITIONS crystal
Ir 0.000 0.500 0.000
Sn 0.500 0.500 0.500
Te 0.000 0.000 0.000
Nb 0.500 0.000 0.000
Nb 0.000 0.000 0.500


11.
! Er3Tl, optimized geometry, DFT PBE-GGA; values from VASP
! - DFT formation energy: -0.16 eV per atom
! - N(E_F): 1.25 states/eV per atom
! - Size of the total moment: 0.31 μB/f.u.
&SYSTEM
  ibrav = 0, nat = 8, ntyp = 2
/
ATOMIC_SPECIES
Er 167.26 Er.upf
Tl 204.38 Tl.upf
CELL_PARAMETERS angstrom
3.640 0.000 0.000
-1.820 6.400 0.000
0.000 0.000 10.027
ATOMIC_POSITIONS crystal
Er 0.129 0.259 0.534
Er 0.460 0.920 0.750
Tl 0.253 0.506 0.250
Er 0.129 0.259 0.966
Er 0.871 0.741 0.034
Tl 0.747 0.494 0.750
Er 0.871 0.741 0.466
Er 0.540 0.080 0.250


12.
! TbEr3Tm2Se6, optimized geometry, DFT PBE-GGA; values from VASP
! - N(E_F): 0.45 states/eV per atom
! - Total energy: -5.71 eV per atom
! - Size of the total moment: 0.00 μB/f.u.
&SYSTEM
  ibrav = 0, nat = 12, ntyp = 4
/
ATOMIC_SPECIES
Se 78.96 Se.upf
Er 167.26 Er.upf
Tm 168.93 Tm.upf
Tb 158.93 Tb.upf
CELL_PARAMETERS angstrom
6.996 -0.023 -0.003
-3.516 6.048 -0.003
-1.164 -2.015 6.617
ATOMIC_POSITIONS crystal
Se 0.744 0.744 0.248
Er 0.838 0.162 0.500
Tm 0.666 0.334 0.000
Se 0.256 0.256 0.752
Se 0.917 0.577 0.748
Tm 0.334 0.666 0.000
Se 0.577 0.917 0.748
Tb 0.000 0.000 0.000
Er 0.500 0.500 0.500
Er 0.162 0.838 0.500
Se 0.423 0.083 0.252
Se 0.083 0.423 0.252